A plane-wave DFT calculation with PBE was carried out for a geometry-optimized Nb4AlZnC2 structure.

Lattice parameters (Å, degrees): 3.1502 3.1502 13.7850 90.00 90.00 120.00
Space group P-6m2 (No. 187)
Unique sites:
Nb: 0.0000 0.0000 0.1613
Nb: 0.3333 0.6667 0.3383
Al: 0.0000 0.0000 0.5000
Zn: 0.3333 0.6667 0.0000
C: 0.6667 0.3333 0.2482

Results
E_tot   -8.40 eV/atom
Theoretical density   6.84 g/cm3


A plane-wave DFT calculation with PBE was carried out for a geometry-optimized AlTl2Fe structure.

Lattice parameters (Å, degrees): 6.890 6.890 6.890 90.00 90.00 90.00
Space group F-43m (No. 216)
Unique sites:
Al: 0.000 0.000 0.000
Tl: 0.000 0.000 0.500
Tl: 0.250 0.250 0.750
Fe: 0.250 0.250 0.250

Results
E_tot   -3.51 eV/atom
Theoretical density   9.98 g/cm3


A plane-wave DFT calculation with PBE was carried out for a geometry-optimized Lu2Se structure.

Lattice parameters (Å, degrees): 8.706 8.706 8.706 90.00 90.00 90.00
Space group Fd-3m (No. 227, origin choice 2)
Unique sites:
Lu: 0.000 0.000 0.000
Se: 0.125 0.125 0.625

Results
E_tot   -4.16 eV/atom
Theoretical density   8.64 g/cm3